1.
Compound: Ac2PaTiO8
Source: Alexandria
Functional: PBE-GGA
Structure: relaxed

Lattice parameters (Å, degrees): 5.3351 5.3309 7.0036 90.02 90.01 91.54
Last column: nearest neighbours and their distance in Å.
Fractional coordinates of all 12 atoms:
Ac1 0.5006 0.5007 0.7625  6 O 2.44-2.53
Ac2 0.4994 0.4993 0.2375  6 O 2.44-2.53
Pa1 0.0000 0.0000 0.5000  6 O 2.12-2.25
Ti1 0.0000 0.0000 0.0000  6 O 1.91-2.10
O1 0.1684 0.8307 0.2360  1 Ti 2.10, 1 Pa 2.25
O2 0.7419 0.7439 0.0006  1 Ti 1.91
O3 0.8324 0.1700 0.2361  1 Ti 2.10, 1 Pa 2.25
O4 0.8316 0.1693 0.7640  1 Ti 2.10, 1 Pa 2.25
O5 0.2581 0.2561 0.9994  1 Ti 1.91
O6 0.1676 0.8300 0.7639  1 Ti 2.10, 1 Pa 2.25
O7 0.7140 0.7158 0.4996  1 Pa 2.12
O8 0.2860 0.2842 0.5004  1 Pa 2.12

## Properties
- SG: No. 2
- E_form (uncorrected): -70.52 kcal/mol of atoms
- Energy: -101.97 eV/f.u.



2.
Compound: Ca3SmTh2As6
Source: Alexandria
Functional: PBE-GGA
Structure: relaxed

Lattice parameters (Å, degrees): 7.4254 7.4254 7.3271 99.72 99.72 120.00
Last column: nearest neighbours and their distance in Å.
Fractional coordinates of all 12 atoms:
Ca1 0.1659 0.8341 0.5000  6 As 3.04-3.05
Ca2 0.8341 0.1659 0.5000  6 As 3.04-3.05
Ca3 0.5000 0.5000 0.5000  6 As 3.04-3.05
Sm1 0.0000 0.0000 0.0000  6 As 2.99
Th1 0.3334 0.6666 0.0000  6 As 2.98
Th2 0.6666 0.3334 0.0000  6 As 2.98
As1 0.9194 0.5849 0.7579  2 Th 2.98, 1 Sm 2.99, 3 Ca 3.05
As2 0.7461 0.7461 0.2423  2 Th 2.98, 1 Sm 2.99, 3 Ca 3.04
As3 0.0806 0.4151 0.2421  2 Th 2.98, 1 Sm 2.99, 3 Ca 3.05
As4 0.5849 0.9194 0.7579  2 Th 2.98, 1 Sm 2.99, 3 Ca 3.05
As5 0.2539 0.2539 0.7577  2 Th 2.98, 1 Sm 2.99, 3 Ca 3.04
As6 0.4151 0.0806 0.2421  2 Th 2.98, 1 Sm 2.99, 3 Ca 3.05

## Properties
- SG: No. 12
- E_form: -125 kJ per mole of atoms
- Energy: -69.05 eV/f.u.



3.
Compound: P5Ru
Source: Alexandria
Functional: PBE-GGA
Structure: relaxed

Lattice parameters (Å, degrees): 4.6674 4.6674 4.7315 90.00 90.00 120.00
Last column: nearest neighbours and their distance in Å.
Fractional coordinates of all 6 atoms:
P1 0.7263 0.0000 0.0000  2 P 2.21
P2 0.2737 0.2737 0.0000  2 P 2.21
P3 0.0000 0.7263 0.0000  2 P 2.21
P4 0.6667 0.3333 0.5000  3 Ru 2.69, 9 P 2.69-2.92
P5 0.3333 0.6667 0.5000  3 Ru 2.69, 9 P 2.69-2.92
Ru1 0.0000 0.0000 0.5000  12 P 2.69

## Properties
- SG: No. 189
- E_form: 46 kJ per mole of atoms
- Energy: -33.47 eV/f.u.



4.
Compound: PaNb2C2
Source: Alexandria
Functional: PBE-GGA
Structure: relaxed

Lattice parameters (Å, degrees): 5.8494 5.8494 5.9515 113.92 113.92 100.04
Last column: nearest neighbours and their distance in Å.
Fractional coordinates of all 10 atoms:
Pa1 0.8750 0.6250 0.7500  2 C 2.57-2.58
Pa2 0.1250 0.3750 0.2500  2 C 2.57-2.58
Nb1 0.2294 0.9793 0.4589  4 C 2.14-2.33
Nb2 0.4793 0.7294 0.9589  4 C 2.14-2.33
Nb3 0.7706 0.0207 0.5411  4 C 2.14-2.33
Nb4 0.5207 0.2706 0.0411  4 C 2.14-2.33
C1 0.1623 0.3377 0.7500  4 Nb 2.14-2.33
C2 0.4122 0.0878 0.2500  4 Nb 2.14-2.33
C3 0.5878 0.9122 0.7500  4 Nb 2.14-2.33
C4 0.8377 0.6623 0.2500  4 Nb 2.14-2.33

## Properties
- SG: No. 70
- E_form: -10 kJ per mole of atoms
- Energy: -48.58 eV/f.u.



5.
Compound: DyHoSi2
Source: Alexandria
Functional: PBE-GGA
Structure: relaxed

Lattice parameters (Å, degrees): 3.8391 3.8391 7.8419 75.83 75.83 60.00
Last column: nearest neighbours and their distance in Å.
Fractional coordinates of all 4 atoms:
Si1 0.7497 0.7497 0.7510  3 Ho 2.90, 3 Dy 2.91
Si2 0.2503 0.2503 0.2490  3 Ho 2.90, 3 Dy 2.91
Ho1 0.0000 0.0000 0.0000  6 Si 2.90
Dy1 0.5000 0.5000 0.5000  6 Si 2.91

## Properties
- SG: No. 166
- E_form (uncorrected): -10.35 kcal/mol of atoms
- Energy: -21.82 eV/f.u.



6.
Compound: TbSc12Al3
Source: Alexandria
Functional: PBE-GGA
Structure: relaxed

Lattice parameters (Å, degrees): 4.4609 4.4608 18.2480 90.00 90.00 90.00
Last column: nearest neighbours and their distance in Å.
Fractional coordinates of all 16 atoms:
Tb1 0.0000 0.0000 0.0000  12 Sc 3.15-3.36
Sc1 0.5000 0.5000 0.0000  4 Tb 3.15, 8 Sc 3.36
Sc2 0.5000 0.5000 0.2604  8 Sc 3.11-3.16, 4 Al 3.15
Sc3 0.5000 0.5000 0.5000  8 Sc 3.13, 4 Al 3.15
Sc4 0.5000 0.5000 0.7396  8 Sc 3.11-3.16, 4 Al 3.15
Sc5 0.5000 0.0000 0.1379  2 Al 3.14, 8 Sc 3.15-3.36, 2 Tb 3.36
Sc6 0.5000 0.0000 0.3796  8 Sc 3.11-3.15, 4 Al 3.13
Sc7 0.5000 0.0000 0.6204  8 Sc 3.11-3.15, 4 Al 3.13
Sc8 0.5000 0.0000 0.8621  2 Al 3.14, 8 Sc 3.15-3.36, 2 Tb 3.36
Sc9 0.0000 0.5000 0.1379  2 Al 3.14, 8 Sc 3.15-3.36, 2 Tb 3.36
Sc10 0.0000 0.5000 0.3796  8 Sc 3.11-3.15, 4 Al 3.13
Sc11 0.0000 0.5000 0.6204  8 Sc 3.11-3.15, 4 Al 3.13
Sc12 0.0000 0.5000 0.8621  2 Al 3.14, 8 Sc 3.15-3.36, 2 Tb 3.36
Al1 0.0000 0.0000 0.2589  12 Sc 3.13-3.15
Al2 0.0000 0.0000 0.5000  12 Sc 3.13-3.15
Al3 0.0000 0.0000 0.7411  12 Sc 3.13-3.15

## Properties
- SG: No. 123
- E_form: -15 kJ per mole of atoms
- Energy: -94.33 eV/f.u.



7.
Compound: TlFe2Tc
Source: Alexandria
Functional: PBE-GGA
Structure: relaxed

Lattice parameters (Å, degrees): 4.4022 4.4022 4.4022 60.00 60.00 60.00
Last column: nearest neighbours and their distance in Å.
Fractional coordinates of all 4 atoms:
Tl1 0.5000 0.5000 0.5000  8 Fe 2.70
Tc1 0.0000 0.0000 0.0000  8 Fe 2.70
Fe1 0.2500 0.2500 0.2500  4 Tl 2.70, 4 Tc 2.70
Fe2 0.7500 0.7500 0.7500  4 Tl 2.70, 4 Tc 2.70

## Properties
- SG: No. 225
- E_form: 58 kJ per mole of atoms
- Energy: -27.25 eV/f.u.



8.
Compound: LiY2Ga3Ni4
Source: Alexandria
Functional: PBE-GGA
Structure: relaxed

Lattice parameters (Å, degrees): 3.8297 3.8297 11.0757 90.00 90.00 90.00
Last column: nearest neighbours and their distance in Å.
Fractional coordinates of all 10 atoms:
Li1 0.5000 0.5000 0.5000  4 Ni 2.53, 4 Ga 2.71
Y1 0.5000 0.0000 0.2551  4 Ni 2.91, 4 Ga 3.04
Y2 0.0000 0.5000 0.7449  4 Ni 2.91, 4 Ga 3.04
Ga1 0.0000 0.0000 0.5000  4 Ni 2.53, 4 Li 2.71
Ga2 0.5000 0.0000 0.8696  5 Ni 2.40-2.44
Ga3 0.0000 0.5000 0.1304  5 Ni 2.40-2.44
Ni1 0.5000 0.5000 0.0000  4 Ga 2.40
Ni2 0.0000 0.0000 0.0000  4 Ga 2.40
Ni3 0.5000 0.0000 0.6494  3 Ga 2.44-2.53, 2 Li 2.53
Ni4 0.0000 0.5000 0.3506  3 Ga 2.44-2.53, 2 Li 2.53

## Properties
- SG: No. 115
- E_form: -47 kJ per mole of atoms
- Energy: -51.89 eV/f.u.